(1)
Entry from OQMD: an optimized crystal structure of LaTm2Mg3CdIn2 (PBE).

a b c (Å): 4.6991 7.6295 7.6295
angles (deg): 121.53 90.00 90.00
With the nearest neighbours (Å) after each atom.
Element x y z (fractional)
La 0.0000 0.0000 0.0000  1 Cd 3.29, 4 In 3.33, 6 Mg 3.41-3.65
Tm 0.0000 0.4238 0.8508  1 Cd 3.20, 4 In 3.22, 2 Mg 3.48
Tm 0.0000 0.8508 0.4238  1 Cd 3.20, 4 In 3.22, 2 Mg 3.48
Mg 0.5000 0.1893 0.4281  2 In 2.90-2.95, 2 Cd 3.00, 2 Mg 3.12-3.18
Mg 0.5000 0.4281 0.1893  2 In 2.90-2.95, 2 Cd 3.00, 2 Mg 3.12-3.18
Mg 0.5000 0.6683 0.6683  2 Cd 2.89, 2 In 2.98, 2 Mg 3.12
Cd 0.0000 0.4415 0.4415  6 Mg 2.89-3.00, 2 Tm 3.20
In 0.5000 0.0958 0.7516  3 Mg 2.90-2.98, 4 Tm 3.22
In 0.5000 0.7516 0.0958  3 Mg 2.90-2.98, 4 Tm 3.22

- Energy: -3.117 eV per atom
- Density: 6.4 g/cm³

(2)
Entry from OQMD: an optimized crystal structure of La2TmMg3CdIn2 (PBE).

a b c (Å): 4.7685 7.6413 7.6413
angles (deg): 118.70 90.00 90.00
With the nearest neighbours (Å) after each atom.
Element x y z (fractional)
La 0.0000 0.2112 0.7888  1 Cd 3.30, 4 In 3.35, 4 Mg 3.50-3.66
La 0.0000 0.7888 0.2112  1 Cd 3.30, 4 In 3.35, 4 Mg 3.50-3.66
Tm 0.0000 0.3636 0.3636  1 Cd 3.18, 4 In 3.23
Mg 0.5000 0.0227 0.0227  2 In 2.96, 2 Cd 3.08, 2 Mg 3.20
Mg 0.5000 0.5451 0.7845  2 In 2.97-3.05, 2 Cd 2.98, 2 Mg 3.15-3.20
Mg 0.5000 0.7845 0.5451  2 In 2.97-3.05, 2 Cd 2.98, 2 Mg 3.15-3.20
Cd 0.0000 0.7716 0.7716  6 Mg 2.98-3.08, 1 Tm 3.18, 2 La 3.30
In 0.5000 0.1289 0.4495  3 Mg 2.96-3.05, 2 Tm 3.23
In 0.5000 0.4495 0.1289  3 Mg 2.96-3.05, 2 Tm 3.23

- Energy: -3.190 eV per atom
- Density: 5.9 g/cm³

(3)
Entry from OQMD: an optimized crystal structure of LaCdInS3 (PBE).

a b c (Å): 7.1911 7.1911 11.2251
angles (deg): 90.00 90.00 145.53
With the nearest neighbours (Å) after each atom.
Element x y z (fractional)
La 0.0000 0.0000 0.0000  6 S 2.89-2.96
La 0.0000 0.0000 0.5000  6 S 2.89-2.96
Cd 0.4563 0.5437 0.7500  4 S 2.50-2.64
Cd 0.5437 0.4563 0.2500  4 S 2.50-2.64
In 0.2581 0.7419 0.2500  6 S 3.18-3.48
In 0.7419 0.2581 0.7500  6 S 3.18-3.48
S 0.0696 0.9304 0.7500  2 Cd 2.64
S 0.3659 0.6341 0.5570  1 Cd 2.50
S 0.3659 0.6341 0.9430  1 Cd 2.50
S 0.6341 0.3659 0.0570  1 Cd 2.50
S 0.6341 0.3659 0.4430  1 Cd 2.50
S 0.9304 0.0696 0.2500  2 Cd 2.64

- Energy: -4.585 eV per atom
- Density: 4.7 g/cm³

(4)
Entry from OQMD: an optimized crystal structure of SrLaCdIn (PBE).

a b c (Å): 4.0164 5.6232 5.6610
angles (deg): 90.00 90.00 90.00
With the nearest neighbours (Å) after each atom.
Element x y z (fractional)
Sr 0.0000 0.0000 0.0000  4 Cd 3.46, 4 In 3.47
La 0.0000 0.5000 0.5000  4 In 3.46, 4 Cd 3.47
Cd 0.5000 0.5000 0.0000  4 Sr 3.46, 4 La 3.47
In 0.5000 0.0000 0.5000  4 La 3.46, 4 Sr 3.47

- Energy: -2.962 eV per atom
- Density: 5.9 g/cm³

(5)
Entry from OQMD: an optimized crystal structure of La2TbTlCd3In2 (PBE).

a b c (Å): 4.7566 7.7003 7.7003
angles (deg): 119.29 90.00 90.00
With the nearest neighbours (Å) after each atom.
Element x y z (fractional)
La 0.0000 0.2126 0.7874  1 Tl 3.32, 4 In 3.34-3.35, 4 Cd 3.44-3.70
La 0.0000 0.7874 0.2126  1 Tl 3.32, 4 In 3.34-3.35, 4 Cd 3.44-3.70
Tb 0.0000 0.3617 0.3617  1 Tl 3.23, 4 In 3.25, 2 Cd 3.49
Tl 0.0000 0.7764 0.7764  6 Cd 3.05-3.11, 1 Tb 3.23, 2 La 3.32
Cd 0.5000 0.0335 0.0335  2 In 2.92, 2 Tl 3.11
Cd 0.5000 0.5354 0.7883  2 In 2.95-2.99, 2 Tl 3.05
Cd 0.5000 0.7883 0.5354  2 In 2.95-2.99, 2 Tl 3.05
In 0.5000 0.1269 0.4491  3 Cd 2.92-2.99, 2 Tb 3.25
In 0.5000 0.4491 0.1269  3 Cd 2.92-2.99, 2 Tb 3.25

- Energy: -3.199 eV per atom
- Density: 8.2 g/cm³

(6)
Entry from OQMD: an optimized crystal structure of La2TlCd2In (PBE).

a b c (Å): 4.9948 4.9948 7.8690
angles (deg): 90.00 90.00 120.00
With the nearest neighbours (Å) after each atom.
Element x y z (fractional)
La 0.0000 0.0000 0.0000  3 Tl 3.32, 6 Cd 3.34-3.70, 3 In 3.66
La 0.0000 0.0000 0.5003  6 Cd 3.30-3.66, 3 In 3.33, 3 Tl 3.69
Tl 0.6667 0.3333 0.2087  3 Cd 2.96
Cd 0.3333 0.6667 0.2952  3 Tl 2.96, 1 In 3.29, 3 La 3.30
Cd 0.6667 0.3333 0.7862  3 In 2.94
In 0.3333 0.6667 0.7126  4 Cd 2.94-3.29

- Energy: -3.255 eV per atom
- Density: 8.0 g/cm³